## MnBe3H (PBE)

Data for a relaxed structure of MnBe3H.

Results
The calculation puts the density of states at the Fermi level at 0.15 states/eV per atom. The calculation puts the final energy at -4.658 eV per atom. The excess energy over the best structure of this formula in the dataset is 0.000 eV/atom. Its space-group type is No. 221.

a = 3.301 Å, b = 3.301 Å, c = 3.301 Å
α = 90.00°, β = 90.00°, γ = 90.00°
Fractional positions:
1 Be 0.500 0.000 0.000
2 H 0.000 0.000 0.000
3 Mn 0.500 0.500 0.500
4 Be 0.000 0.500 0.000
5 Be 0.000 0.000 0.500